The following is a meta-GGA SCAN calculation of a crystal of Sn3PtAu relaxed with PBEsol, from Alexandria.

Geometry as CIF:
```
data_Sn3PtAu
_cell_length_a 5.149
_cell_length_b 5.149
_cell_length_c 5.149
_cell_angle_alpha 90.00
_cell_angle_beta 90.00
_cell_angle_gamma 90.00
_space_group_name_H-M_alt 'P m -3 m'
_space_group_IT_number 221
_space_group_name_Hall '-P 4 2 3'
loop_
_atom_site_label
_atom_site_fract_x
_atom_site_fract_y
_atom_site_fract_z
Sn1 0.000 0.000 0.500
Pt1 0.500 0.500 0.500
Au1 0.000 0.000 0.000
```

Calculated values
Raw total energy in eV per atom: -48.6784
Spin magnetization in μB/f.u.: 0.000

The following is a meta-GGA SCAN calculation of a crystal of KBeSi relaxed with PBEsol, from Alexandria.

Geometry as CIF:
```
data_KBeSi
_cell_length_a 6.389
_cell_length_b 6.389
_cell_length_c 6.389
_cell_angle_alpha 90.00
_cell_angle_beta 90.00
_cell_angle_gamma 90.00
_space_group_name_H-M_alt 'F -4 3 m'
_space_group_IT_number 216
_space_group_name_Hall 'F -4 2 3'
loop_
_atom_site_label
_atom_site_fract_x
_atom_site_fract_y
_atom_site_fract_z
K1 0.000 0.000 0.000
Be1 0.250 0.250 0.250
Si1 0.000 0.000 0.500
```

Calculated values
E_form (uncorrected) in meV/atom: 939
Raw total energy in eV per atom: -6.6275
Spin magnetization in μB/f.u.: 0.525

The following is a meta-GGA SCAN calculation of a crystal of Sc3TaTl relaxed with PBEsol, from Alexandria.

Geometry as CIF:
```
data_Sc3TaTl
_cell_length_a 5.182
_cell_length_b 5.182
_cell_length_c 5.182
_cell_angle_alpha 90.00
_cell_angle_beta 90.00
_cell_angle_gamma 90.00
_space_group_name_H-M_alt 'P m -3 m'
_space_group_IT_number 221
_space_group_name_Hall '-P 4 2 3'
loop_
_atom_site_label
_atom_site_fract_x
_atom_site_fract_y
_atom_site_fract_z
Sc1 0.000 0.000 0.500
Ta1 0.500 0.500 0.500
Tl1 0.000 0.000 0.000
```

Calculated values
Raw total energy in eV per atom: -35.3165
Spin magnetization in μB/f.u.: 3.510
Distance to the lowest polymorph of the same formula in meV/atom: 418

The following is a meta-GGA SCAN calculation of a crystal of ZrTaBi2Os relaxed with PBEsol, from Alexandria.

Geometry as CIF:
```
data_ZrTaBi2Os
_cell_length_a 5.186
_cell_length_b 5.186
_cell_length_c 4.838
_cell_angle_alpha 90.00
_cell_angle_beta 90.00
_cell_angle_gamma 90.00
_space_group_name_H-M_alt 'P 4/m m m'
_space_group_IT_number 123
_space_group_name_Hall '-P 4 2'
loop_
_atom_site_label
_atom_site_fract_x
_atom_site_fract_y
_atom_site_fract_z
Zr1 0.000 0.000 0.000
Ta1 0.500 0.500 0.000
Bi1 0.000 0.500 0.500
Os1 0.500 0.500 0.500
```

Calculated values
Raw total energy in eV per atom: -64.0898
Spin magnetization in μB/f.u.: 0.000

The following is a meta-GGA SCAN calculation of a crystal of Li2Ti3P9O28 relaxed with PBEsol, from Alexandria.

Geometry as CIF:
```
data_Li2Ti3P9O28
_cell_length_a 7.208
_cell_length_b 9.101
_cell_length_c 9.601
_cell_angle_alpha 112.50
_cell_angle_beta 110.99
_cell_angle_gamma 96.48
_space_group_name_H-M_alt 'P -1'
_space_group_IT_number 2
_space_group_name_Hall '-P 1'
loop_
_atom_site_label
_atom_site_fract_x
_atom_site_fract_y
_atom_site_fract_z
Li1 0.081 0.374 0.183
Ti1 0.262 0.502 0.750
Ti2 0.500 0.000 0.500
P1 0.000 0.000 0.000
P2 0.146 0.186 0.407
P3 0.199 0.722 0.536
P4 0.292 0.275 0.953
P5 0.366 0.832 0.096
O1 0.058 0.569 0.367
O2 0.066 0.850 0.575
O3 0.091 0.189 0.239
O4 0.104 0.199 0.967
O5 0.227 0.658 0.951
O6 0.231 0.323 0.810
O7 0.233 0.046 0.422
O8 0.268 0.677 0.680
O9 0.280 0.359 0.549
O10 0.281 0.971 0.075
O11 0.380 0.819 0.532
O12 0.415 0.140 0.915
O13 0.417 0.838 0.267
O14 0.439 0.425 0.122
```

Calculated values
E_form (uncorrected) in meV/atom: -2537
Raw total energy in eV per atom: -10.1784
Spin magnetization in μB/f.u.: 1.002

The following is a meta-GGA SCAN calculation of a crystal of CdAgMo2 relaxed with PBEsol, from Alexandria.

Geometry as CIF:
```
data_CdAgMo2
_cell_length_a 2.677
_cell_length_b 4.225
_cell_length_c 5.841
_cell_angle_alpha 90.00
_cell_angle_beta 90.00
_cell_angle_gamma 90.00
_space_group_name_H-M_alt 'P m m 2'
_space_group_IT_number 25
_space_group_name_Hall 'P 2 -2'
loop_
_atom_site_label
_atom_site_fract_x
_atom_site_fract_y
_atom_site_fract_z
Cd1 0.000 0.000 0.000
Ag1 0.500 0.500 0.760
Mo1 0.000 0.000 0.491
Mo2 0.500 0.500 0.279
```

Calculated values
Raw total energy in eV per atom: -32.4366
Spin magnetization in μB/f.u.: 0.000

The following is a meta-GGA SCAN calculation of a crystal of LaMg2Ru relaxed with PBEsol, from Alexandria.

Geometry as CIF:
```
data_LaMg2Ru
_cell_length_a 3.296
_cell_length_b 4.845
_cell_length_c 11.040
_cell_angle_alpha 90.00
_cell_angle_beta 90.00
_cell_angle_gamma 90.00
_space_group_name_H-M_alt 'I m m m'
_space_group_IT_number 71
_space_group_name_Hall '-I 2 2'
loop_
_atom_site_label
_atom_site_fract_x
_atom_site_fract_y
_atom_site_fract_z
La1 0.000 0.000 0.000
Mg1 0.000 0.500 0.202
Ru1 0.000 0.000 0.500
```

Calculated values
Raw total energy in eV per atom: -22.0935
Spin magnetization in μB/f.u.: 0.000

The following is a meta-GGA SCAN calculation of a crystal of Re2WCl relaxed with PBEsol, from Alexandria.

Geometry as CIF:
```
data_Re2WCl
_cell_length_a 3.015
_cell_length_b 4.662
_cell_length_c 8.763
_cell_angle_alpha 90.00
_cell_angle_beta 90.00
_cell_angle_gamma 90.00
_space_group_name_H-M_alt 'C m m m'
_space_group_IT_number 65
_space_group_name_Hall '-C 2 2'
loop_
_atom_site_label
_atom_site_fract_x
_atom_site_fract_y
_atom_site_fract_z
Re1 0.000 0.000 0.243
W1 0.000 0.500 0.000
Cl1 0.000 0.500 0.500
```

Calculated values
E_form (uncorrected) in meV/atom: 663
Raw total energy in eV per atom: -54.3018
Spin magnetization in μB/f.u.: 0.000

> Number 8 is which compound?

Re2WCl

Copy entry 2 word for word.
The following is a meta-GGA SCAN calculation of a crystal of KBeSi relaxed with PBEsol, from Alexandria.

Geometry as CIF:
```
data_KBeSi
_cell_length_a 6.389
_cell_length_b 6.389
_cell_length_c 6.389
_cell_angle_alpha 90.00
_cell_angle_beta 90.00
_cell_angle_gamma 90.00
_space_group_name_H-M_alt 'F -4 3 m'
_space_group_IT_number 216
_space_group_name_Hall 'F -4 2 3'
loop_
_atom_site_label
_atom_site_fract_x
_atom_site_fract_y
_atom_site_fract_z
K1 0.000 0.000 0.000
Be1 0.250 0.250 0.250
Si1 0.000 0.000 0.500
```

Calculated values
E_form (uncorrected) in meV/atom: 939
Raw total energy in eV per atom: -6.6275
Spin magnetization in μB/f.u.: 0.525

Please write out number 1 again, unchanged.
The following is a meta-GGA SCAN calculation of a crystal of Sn3PtAu relaxed with PBEsol, from Alexandria.

Geometry as CIF:
```
data_Sn3PtAu
_cell_length_a 5.149
_cell_length_b 5.149
_cell_length_c 5.149
_cell_angle_alpha 90.00
_cell_angle_beta 90.00
_cell_angle_gamma 90.00
_space_group_name_H-M_alt 'P m -3 m'
_space_group_IT_number 221
_space_group_name_Hall '-P 4 2 3'
loop_
_atom_site_label
_atom_site_fract_x
_atom_site_fract_y
_atom_site_fract_z
Sn1 0.000 0.000 0.500
Pt1 0.500 0.500 0.500
Au1 0.000 0.000 0.000
```

Calculated values
Raw total energy in eV per atom: -48.6784
Spin magnetization in μB/f.u.: 0.000